Entry 1:
## Ca2TeF (PBE)

Data for Ca2TeF after structural relaxation.

Unit cell a=4.192 b=4.192 c=7.150 alpha=72.95 beta=72.95 gamma=60.00
Fractional coordinates of all 4 atoms:
Ca 0.737 0.737 0.788
Ca 0.263 0.263 0.212
F 0.000 0.000 0.000
Te 0.500 0.500 0.500

- Energy above the most stable polymorph in this dataset: 3.4 meV/atom
- Uncorrected formation energy: -1.91 eV/atom
- Calculated volume: 25.60 Å³ per atom
- Magnetization: 0.52 μB/cell
- Space-group type: R-3m
- Calculated total energy: -16.65 eV/cell

=====

Entry 2:
## RbTl6Pb2 (PBE)

Data for RbTl6Pb2 after structural relaxation.

Unit cell a=10.239 b=10.239 c=10.239 alpha=60.00 beta=60.00 gamma=60.00
Fractional coordinates of all 18 atoms:
Tl 0.504 0.996 0.996
Tl 0.746 0.254 0.254
Tl 0.746 0.746 0.254
Tl 0.254 0.746 0.746
Tl 0.746 0.254 0.746
Tl 0.254 0.746 0.254
Tl 0.996 0.504 0.996
Tl 0.504 0.996 0.504
Tl 0.504 0.504 0.996
Tl 0.996 0.504 0.504
Tl 0.254 0.254 0.746
Tl 0.996 0.996 0.504
Pb 0.125 0.125 0.125
Pb 0.125 0.625 0.125
Pb 0.125 0.125 0.625
Pb 0.625 0.125 0.125
Rb 0.500 0.500 0.500
Rb 0.750 0.750 0.750

- Energy above the most stable polymorph in this dataset: 222.4 meV/atom
- Calculated volume: 42.16 Å³ per atom
- Magnetization: 0.00 μB/cell
- Space-group type: Fd-3m
- Calculated total energy: -41.16 eV/cell

=====

Entry 3:
## AlCr4Ag (PBE)

Data for AlCr4Ag after structural relaxation.

Unit cell a=4.842 b=4.842 c=4.842 alpha=60.00 beta=60.00 gamma=60.00
Fractional coordinates of all 6 atoms:
Al 0.000 0.000 0.000
Cr 0.375 0.375 0.874
Cr 0.375 0.874 0.375
Cr 0.375 0.375 0.375
Cr 0.874 0.375 0.375
Ag 0.750 0.750 0.750

- Calculated volume: 13.38 Å³ per atom
- Magnetization: 0.00 μB/cell
- Space-group type: F-43m
- Calculated total energy: -42.99 eV/cell

=====

Entry 4:
## Nd6Cd2Ag (PBE)

Data for Nd6Cd2Ag after structural relaxation.

Unit cell a=6.459 b=9.568 c=9.326 alpha=90.00 beta=78.84 gamma=90.00
Fractional coordinates of all 18 atoms:
Nd 0.091 0.308 0.059
Nd 0.909 0.692 0.941
Nd 0.103 0.330 0.473
Nd 0.618 0.463 0.296
Nd 0.882 0.963 0.204
Nd 0.591 0.192 0.559
Nd 0.118 0.037 0.796
Nd 0.382 0.537 0.704
Nd 0.897 0.670 0.527
Nd 0.603 0.170 0.973
Nd 0.409 0.808 0.441
Nd 0.397 0.830 0.027
Cd 0.367 0.100 0.280
Cd 0.133 0.600 0.220
Cd 0.867 0.400 0.780
Cd 0.633 0.900 0.720
Ag 0.500 0.500 0.000
Ag 0.000 0.000 0.500

- Calculated volume: 31.41 Å³ per atom
- Magnetization: 0.00 μB/cell
- Space-group type: P2_1/c
- Calculated total energy: -68.06 eV/cell